DyCd2MoO6 | GGA+U | optimized geometry

a b c (Å): 5.649 5.709 9.954
angles (deg): 90.00 124.44 90.00
Space group P2_1/c (No. 14)
Unique sites:
1 Dy 0.000 0.000 0.000 x2
2 Cd 0.246 0.040 0.746 x4
3 Mo 0.500 0.000 0.500 x2
4 O 0.140 0.171 0.444 x4
5 O 0.283 0.707 0.441 x4
6 O 0.371 0.063 0.264 x4

Values from the calculation:
The raw total energy is -6.21 eV/atom.